# 1
A plane-wave DFT calculation with GGA-PBE was carried out for a relaxed Nd2ScPa2Rh5 crystal.

Cell: 3.5163 10.9192 10.9192 Å, 90.00 90.00 90.00°
Fractional coordinates of all 20 atoms:
Pa 0.0000 0.3592 0.1408
Pa 0.0000 0.1408 0.6408
Pa 0.0000 0.6408 0.8592
Pa 0.0000 0.8592 0.3592
Sc 0.0000 0.0000 0.0000
Sc 0.0000 0.5000 0.5000
Rh 0.5000 0.1900 0.0599
Rh 0.5000 0.6900 0.4401
Rh 0.5000 0.3100 0.5599
Rh 0.5000 0.8100 0.9401
Rh 0.5000 0.5000 0.0000
Rh 0.5000 0.5599 0.6900
Rh 0.5000 0.4401 0.3100
Rh 0.5000 0.9401 0.1900
Rh 0.5000 0.0000 0.5000
Rh 0.5000 0.0599 0.8100
Nd 0.0000 0.1684 0.3316
Nd 0.0000 0.8316 0.6684
Nd 0.0000 0.6684 0.1684
Nd 0.0000 0.3316 0.8316

Mass density, g cm⁻³: 10.38
Total moment, μB/f.u.: 0.00
Density of states at the Fermi level, states/eV per atom: 0.97
Volume, Å³/cell: 419.3
Energy of formation, meV per atom: -640
Final energy, eV/atom: -7.802

# 2
A plane-wave DFT calculation with GGA-PBE was carried out for a relaxed NdPaSi2Rh5 crystal.

Cell: 4.0344 4.0344 10.9210 Å, 90.00 90.00 90.00°
Fractional coordinates of all 9 atoms:
Rh 0.5000 0.0000 0.1744
Rh 0.0000 0.5000 0.1744
Rh 0.0000 0.5000 0.8256
Rh 0.5000 0.5000 0.5000
Rh 0.5000 0.0000 0.8256
Nd 0.0000 0.0000 0.5000
Si 0.5000 0.5000 0.2870
Si 0.5000 0.5000 0.7130
Pa 0.0000 0.0000 0.0000

Mass density, g cm⁻³: 8.84
Total moment, μB/f.u.: 0.00
Density of states at the Fermi level, states/eV per atom: 0.49
Volume, Å³/cell: 177.8
Formation energy (no corrections), eV/atom: -0.737
Final energy, eV/atom: -7.611

# 3
A plane-wave DFT calculation with GGA-PBE was carried out for a relaxed Nd2SmPa2Rh5 crystal.

Cell: 3.6452 11.0317 11.0317 Å, 90.00 90.00 90.00°
Fractional coordinates of all 20 atoms:
Sm 0.0000 0.5000 0.5000
Sm 0.0000 0.0000 0.0000
Pa 0.0000 0.3651 0.1349
Pa 0.0000 0.6349 0.8651
Pa 0.0000 0.8651 0.3651
Pa 0.0000 0.1349 0.6349
Rh 0.5000 0.0000 0.5000
Rh 0.5000 0.2903 0.5496
Rh 0.5000 0.5000 0.0000
Rh 0.5000 0.7097 0.4504
Rh 0.5000 0.5496 0.7097
Rh 0.5000 0.7903 0.9504
Rh 0.5000 0.9504 0.2097
Rh 0.5000 0.2097 0.0496
Rh 0.5000 0.4504 0.2903
Rh 0.5000 0.0496 0.7903
Nd 0.0000 0.3270 0.8270
Nd 0.0000 0.6730 0.1730
Nd 0.0000 0.1730 0.3270
Nd 0.0000 0.8270 0.6730

Mass density, g cm⁻³: 10.60
Total moment, μB/f.u.: 0.00
Density of states at the Fermi level, states/eV per atom: 0.91
Volume, Å³/cell: 443.6
Energy of formation, meV per atom: -635
Final energy, eV/atom: -7.636

# 4
A plane-wave DFT calculation with GGA-PBE was carried out for a relaxed TbNd2Pa2Rh5 crystal.

Cell: 3.6192 10.9966 10.9966 Å, 90.00 90.00 90.00°
Fractional coordinates of all 20 atoms:
Rh 0.5000 0.4473 0.2957
Rh 0.5000 0.2043 0.0527
Rh 0.5000 0.0527 0.7957
Rh 0.5000 0.0000 0.5000
Rh 0.5000 0.2957 0.5527
Rh 0.5000 0.7957 0.9473
Rh 0.5000 0.5000 0.0000
Rh 0.5000 0.7043 0.4473
Rh 0.5000 0.9473 0.2043
Rh 0.5000 0.5527 0.7043
Tb 0.0000 0.5000 0.5000
Tb 0.0000 0.0000 0.0000
Pa 0.0000 0.6361 0.8639
Pa 0.0000 0.8639 0.3639
Pa 0.0000 0.1361 0.6361
Pa 0.0000 0.3639 0.1361
Nd 0.0000 0.1720 0.3280
Nd 0.0000 0.8280 0.6720
Nd 0.0000 0.3280 0.8280
Nd 0.0000 0.6720 0.1720

Mass density, g cm⁻³: 10.81
Total moment, μB/f.u.: 0.00
Density of states at the Fermi level, states/eV per atom: 0.97
Volume, Å³/cell: 437.6
Energy of formation, meV per atom: -650
Final energy, eV/atom: -7.641